Crystalline Pr2MnO5 at its relaxed geometry, computed with GGA+U.

CIF file:
```
data_Pr2MnO5
_space_group_name_H-M_alt 'P n m a'
_space_group_IT_number 62
_cell_length_a 10.767
_cell_length_b 3.903
_cell_length_c 11.505
_cell_angle_alpha 90.00
_cell_angle_beta 90.00
_cell_angle_gamma 90.00
loop_
_space_group_symop_operation_xyz
'x,y,z'
'-x,-y,-z'
'-x+1/2,-y,z+1/2'
'x+1/2,y,-z+1/2'
'x+1/2,-y+1/2,-z+1/2'
'-x+1/2,y+1/2,z+1/2'
'-x,y+1/2,-z'
'x,-y+1/2,z'
loop_
_atom_site_label
_atom_site_type_symbol
_atom_site_fract_x
_atom_site_fract_y
_atom_site_fract_z
Pr1 Pr 0.091 0.250 0.220
Pr2 Pr 0.138 0.250 0.564
Mn1 Mn 0.199 0.250 0.875
O1 O 0.012 0.750 0.598
O2 O 0.045 0.250 0.813
O3 O 0.214 0.250 0.034
O4 O 0.219 0.750 0.229
O5 O 0.242 0.750 0.878
```

Properties
calculated total energy = -7.82 eV per atom
volume = 483.5 Å³/cell
magnetization = 12.0 μB per cell